# 1
# Nb3Tl4PbO12 GGA-PBE relaxed
data_Nb3Tl4PbO12
_symmetry_space_group_name_H-M 'P 1'
_symmetry_Int_Tables_number 1
_cell_length_a 7.1923
_cell_length_b 7.1923
_cell_length_c 7.1923
_cell_angle_alpha 109.47
_cell_angle_beta 109.47
_cell_angle_gamma 109.47
loop_
_symmetry_equiv_pos_as_xyz
'x,y,z'
loop_
_atom_site_label
_atom_site_fract_x
_atom_site_fract_y
_atom_site_fract_z
Nb1 0.0000 0.5000 0.5000
Nb2 0.5000 0.0000 0.5000
Nb3 0.5000 0.5000 0.0000
Tl1 0.0000 0.0000 0.5000
Tl2 0.0000 0.5000 0.0000
Tl3 0.5000 0.0000 0.0000
Tl4 0.5000 0.5000 0.5000
Pb1 0.0000 0.0000 0.0000
O1 0.0000 0.2628 0.2628
O2 0.0000 0.7372 0.7372
O3 0.2500 0.5000 0.7500
O4 0.2500 0.7500 0.5000
O5 0.2628 0.0000 0.2628
O6 0.2628 0.2628 0.0000
O7 0.5000 0.2500 0.7500
O8 0.5000 0.7500 0.2500
O9 0.7372 0.0000 0.7372
O10 0.7372 0.7372 0.0000
O11 0.7500 0.2500 0.5000
O12 0.7500 0.5000 0.2500
# space-group type	No. 229
# formation energy without anion corrections	-157	kJ/mol of atoms

=====

# 2
# Ga2BiRh2 GGA-PBE relaxed
data_Ga2BiRh2
_symmetry_space_group_name_H-M 'P 1'
_symmetry_Int_Tables_number 1
_cell_length_a 7.5668
_cell_length_b 7.5668
_cell_length_c 3.0127
_cell_angle_alpha 90.00
_cell_angle_beta 90.00
_cell_angle_gamma 90.00
loop_
_symmetry_equiv_pos_as_xyz
'x,y,z'
loop_
_atom_site_label
_atom_site_fract_x
_atom_site_fract_y
_atom_site_fract_z
Ga1 0.1438 0.3562 0.0000
Ga2 0.3562 0.8562 0.0000
Ga3 0.6438 0.1438 0.0000
Ga4 0.8562 0.6438 0.0000
Bi1 0.0000 0.0000 0.5000
Bi2 0.5000 0.5000 0.5000
Rh1 0.1468 0.6468 0.5000
Rh2 0.3532 0.1468 0.5000
Rh3 0.6468 0.8532 0.5000
Rh4 0.8532 0.3532 0.5000
# relative energy among the computed polymorphs	1.23	kJ per mole of atoms
# space-group type	No. 127
# formation enthalpy at 0 K	-0.3492	eV per atom

=====

# 3
# Zn2TcO2 GGA-PBE relaxed
data_Zn2TcO2
_symmetry_space_group_name_H-M 'P 1'
_symmetry_Int_Tables_number 1
_cell_length_a 5.0996
_cell_length_b 5.0996
_cell_length_c 5.0996
_cell_angle_alpha 136.22
_cell_angle_beta 136.22
_cell_angle_gamma 63.64
loop_
_symmetry_equiv_pos_as_xyz
'x,y,z'
loop_
_atom_site_label
_atom_site_fract_x
_atom_site_fract_y
_atom_site_fract_z
Zn1 0.1478 0.1478 0.0000
Zn2 0.8522 0.8522 0.0000
Tc1 0.5000 0.5000 0.0000
O1 0.2500 0.7500 0.5000
O2 0.7500 0.2500 0.5000
# relative energy among the computed polymorphs	0.00	kJ per mole of atoms
# space-group type	No. 139
# formation energy without anion corrections	-9	kJ/mol of atoms

=====

# 4
# ZnCo2Te GGA-PBE relaxed
data_ZnCo2Te
_symmetry_space_group_name_H-M 'P 1'
_symmetry_Int_Tables_number 1
_cell_length_a 4.2985
_cell_length_b 4.2985
_cell_length_c 4.2985
_cell_angle_alpha 60.00
_cell_angle_beta 60.00
_cell_angle_gamma 60.00
loop_
_symmetry_equiv_pos_as_xyz
'x,y,z'
loop_
_atom_site_label
_atom_site_fract_x
_atom_site_fract_y
_atom_site_fract_z
Zn1 0.0000 0.0000 0.0000
Co1 0.2500 0.2500 0.2500
Co2 0.7500 0.7500 0.7500
Te1 0.5000 0.5000 0.5000
# relative energy among the computed polymorphs	0.00	kJ per mole of atoms
# space-group type	No. 225
# formation energy without anion corrections	18	kJ/mol of atoms

=====

# 5
# NbSbIN2 GGA-PBE relaxed
data_NbSbIN2
_symmetry_space_group_name_H-M 'P 1'
_symmetry_Int_Tables_number 1
_cell_length_a 4.2063
_cell_length_b 4.2063
_cell_length_c 5.6990
_cell_angle_alpha 90.00
_cell_angle_beta 90.00
_cell_angle_gamma 90.00
loop_
_symmetry_equiv_pos_as_xyz
'x,y,z'
loop_
_atom_site_label
_atom_site_fract_x
_atom_site_fract_y
_atom_site_fract_z
Nb1 0.0000 0.0000 0.0000
Sb1 0.5000 0.5000 0.5000
I1 0.0000 0.0000 0.5000
N1 0.0000 0.5000 0.0000
N2 0.5000 0.0000 0.0000
# relative energy among the computed polymorphs	0.00	kJ per mole of atoms
# space-group type	No. 123
# formation energy without anion corrections	74	kJ/mol of atoms

=====

# 6
# YTlTe GGA-PBE relaxed
data_YTlTe
_symmetry_space_group_name_H-M 'P 1'
_symmetry_Int_Tables_number 1
_cell_length_a 5.2370
_cell_length_b 5.2370
_cell_length_c 5.2370
_cell_angle_alpha 60.00
_cell_angle_beta 60.00
_cell_angle_gamma 60.00
loop_
_symmetry_equiv_pos_as_xyz
'x,y,z'
loop_
_atom_site_label
_atom_site_fract_x
_atom_site_fract_y
_atom_site_fract_z
Y1 0.0000 0.0000 0.0000
Tl1 0.7500 0.7500 0.7500
Te1 0.5000 0.5000 0.5000
# relative energy among the computed polymorphs	61.18	kJ per mole of atoms
# space-group type	No. 216
# formation energy without anion corrections	-7	kJ/mol of atoms

=====

no.,size of the total moment (μB per formula unit),final energy (eV/atom)
1,0.00,-6.767
2,0.00,-5.277
3,4.02,-4.655
4,1.72,-4.467
5,0.22,-5.710
6,0.00,-4.068